# 1
An optimized crystal structure of LiGdGaSn, computed with PBE.

Properties
Formation energy from the elements (eV/atom): -0.44

```
data_LiGdGaSn
_cell_length_a 7.1427
_cell_length_b 7.1427
_cell_length_c 7.1427
_cell_angle_alpha 90.00
_cell_angle_beta 90.00
_cell_angle_gamma 90.00
_space_group_name_H-M_alt 'F -4 3 m'
_space_group_IT_number 216
_space_group_name_Hall 'F -4 2 3'
loop_
_atom_site_label
_atom_site_type_symbol
_atom_site_fract_x
_atom_site_fract_y
_atom_site_fract_z
Li1 Li 0.0000 0.0000 0.0000
Gd1 Gd 0.0000 0.0000 0.5000
Ga1 Ga 0.2500 0.2500 0.7500
Sn1 Sn 0.2500 0.2500 0.2500
```



# 2
An optimized crystal structure of LiGdTlGa, computed with PBE.

Properties
Formation energy from the elements (eV/atom): -0.36

```
data_LiGdTlGa
_cell_length_a 7.1475
_cell_length_b 7.1475
_cell_length_c 7.1475
_cell_angle_alpha 90.00
_cell_angle_beta 90.00
_cell_angle_gamma 90.00
_space_group_name_H-M_alt 'F -4 3 m'
_space_group_IT_number 216
_space_group_name_Hall 'F -4 2 3'
loop_
_atom_site_label
_atom_site_type_symbol
_atom_site_fract_x
_atom_site_fract_y
_atom_site_fract_z
Li1 Li 0.0000 0.0000 0.0000
Gd1 Gd 0.0000 0.0000 0.5000
Tl1 Tl 0.2500 0.2500 0.7500
Ga1 Ga 0.2500 0.2500 0.2500
```



# 3
An optimized crystal structure of LiGdTmGa, computed with PBE.

Properties
Formation energy from the elements (eV/atom): -0.31

```
data_LiGdTmGa
_cell_length_a 7.1944
_cell_length_b 7.1944
_cell_length_c 7.1944
_cell_angle_alpha 90.00
_cell_angle_beta 90.00
_cell_angle_gamma 90.00
_space_group_name_H-M_alt 'F -4 3 m'
_space_group_IT_number 216
_space_group_name_Hall 'F -4 2 3'
loop_
_atom_site_label
_atom_site_type_symbol
_atom_site_fract_x
_atom_site_fract_y
_atom_site_fract_z
Li1 Li 0.0000 0.0000 0.0000
Gd1 Gd 0.2500 0.2500 0.7500
Tm1 Tm 0.2500 0.2500 0.2500
Ga1 Ga 0.0000 0.0000 0.5000
```



# 4
An optimized crystal structure of LiGdYGa, computed with PBE.

Properties
Formation energy from the elements (eV/atom): -0.33

```
data_LiGdYGa
_cell_length_a 7.2571
_cell_length_b 7.2571
_cell_length_c 7.2571
_cell_angle_alpha 90.00
_cell_angle_beta 90.00
_cell_angle_gamma 90.00
_space_group_name_H-M_alt 'F -4 3 m'
_space_group_IT_number 216
_space_group_name_Hall 'F -4 2 3'
loop_
_atom_site_label
_atom_site_type_symbol
_atom_site_fract_x
_atom_site_fract_y
_atom_site_fract_z
Li1 Li 0.0000 0.0000 0.0000
Gd1 Gd 0.2500 0.2500 0.7500
Y1 Y 0.2500 0.2500 0.2500
Ga1 Ga 0.0000 0.0000 0.5000
```



# 5
An optimized crystal structure of LiGdZrGa, computed with PBE.

Properties
Formation energy from the elements (eV/atom): -0.21

```
data_LiGdZrGa
_cell_length_a 6.9687
_cell_length_b 6.9687
_cell_length_c 6.9687
_cell_angle_alpha 90.00
_cell_angle_beta 90.00
_cell_angle_gamma 90.00
_space_group_name_H-M_alt 'F -4 3 m'
_space_group_IT_number 216
_space_group_name_Hall 'F -4 2 3'
loop_
_atom_site_label
_atom_site_type_symbol
_atom_site_fract_x
_atom_site_fract_y
_atom_site_fract_z
Li1 Li 0.0000 0.0000 0.0000
Gd1 Gd 0.2500 0.2500 0.2500
Zr1 Zr 0.2500 0.2500 0.7500
Ga1 Ga 0.0000 0.0000 0.5000
```



# 6
An optimized crystal structure of GdLu2Ga, computed with PBE.

Properties
Formation energy from the elements (eV/atom): -0.24
Energy above the most stable polymorph in this dataset (eV/atom): 0.042

```
data_GdLu2Ga
_cell_length_a 4.6795
_cell_length_b 4.6795
_cell_length_c 4.6491
_cell_angle_alpha 90.00
_cell_angle_beta 90.00
_cell_angle_gamma 90.00
_space_group_name_H-M_alt 'P 4/m m m'
_space_group_IT_number 123
_space_group_name_Hall '-P 4 2'
loop_
_atom_site_label
_atom_site_type_symbol
_atom_site_fract_x
_atom_site_fract_y
_atom_site_fract_z
Gd1 Gd 0.0000 0.0000 0.0000
Lu1 Lu 0.0000 0.5000 0.5000
Ga1 Ga 0.5000 0.5000 0.0000
```



| no. | magnetic moment (μB/atom) | total energy (eV/atom) |
| --- | --- | --- |
| 1 | 1.746 | -6.2003 |
| 2 | 1.742 | -5.7097 |
| 3 | 1.873 | -6.1859 |
| 4 | 1.889 | -6.7025 |
| 5 | 1.902 | -7.0994 |
| 6 | 1.938 | -6.7812 |